[1]
Compound: ReMo2As
Source: the Alexandria database
Functional: PBE-GGA
Structure: optimized geometry

Cell and atoms, written as extended XYZ:
```
8
Lattice="-1.904 1.904 9.167 1.904 -1.904 9.167 1.904 1.904 -9.167" Properties=species:S:1:pos:R:3 pbc="T T T"
Re 0.000 0.000 0.000
Re 0.000 1.904 4.584
Mo 0.952 -0.879 6.875
Mo 1.025 0.952 2.292
Mo 0.952 2.784 -2.292
Mo 0.879 0.952 11.459
As 1.904 0.000 4.584
As 0.000 0.000 9.167
```



[2]
Compound: ReMo2As
Source: the Alexandria database
Functional: PBE-GGA
Structure: optimized geometry

Cell and atoms, written as extended XYZ:
```
4
Lattice="1.440 0.832 8.697 -1.440 0.832 8.697 0.000 -1.663 8.697" Properties=species:S:1:pos:R:3 pbc="T T T"
Re 0.000 0.000 0.000
Mo 0.000 0.000 6.506
Mo 0.000 0.000 19.585
As 0.000 0.000 13.046
```



[3]
Compound: ReMoAs
Source: the Alexandria database
Functional: PBE-GGA
Structure: optimized geometry

Cell and atoms, written as extended XYZ:
```
3
Lattice="0.000 2.312 6.669 1.578 0.000 6.669 1.578 2.312 0.000" Properties=species:S:1:pos:R:3 pbc="T T T"
Re 0.000 0.000 0.000
Mo 1.578 2.312 4.630
As 1.578 2.312 9.030
```

Properties
Energy above the most stable polymorph in this dataset: 382 meV/atom



The calculated formation energy results, record by record, are as follows: 0.6671 0.2027 0.4601 eV/atom.
The final energy results, record by record, are as follows: -72.18 -37.95 -26.55 eV for the cell shown.